[1]
Here is Ba6H2Au after structural relaxation from Alexandria via LeMat-Bulk. Energies are from PBE.

Values from the calculation:
Energy, eV per atom: -2.71
Space-group type: C2/m
V, Å³ per atom: 44.826

Unit cell a=4.6197 b=7.9555 c=11.9406 alpha=75.72 beta=78.85 gamma=73.12
Last column: nearest neighbours and their distance in Å.
Element x y z (fractional)
Ba 0.6686 0.7601 0.9028  2 H 2.68
Ba 0.3314 0.2399 0.0972  2 H 2.68
Ba 0.9874 0.7810 0.2443  1 H 2.66
Ba 0.3329 0.7403 0.5938  1 H 2.69
Ba 0.0126 0.2190 0.7557  1 H 2.66
Ba 0.6671 0.2597 0.4062  1 H 2.69
H 0.1720 0.8621 0.7940  4 Ba 2.66-2.69
H 0.8280 0.1379 0.2060  4 Ba 2.66-2.69
Au 0.0000 0.5000 0.5000  6 Ba 3.27-3.31

---

[2]
Here is Ba3HAu2 after structural relaxation from Alexandria via LeMat-Bulk. Energies are from PBE.

Values from the calculation:
Energy, eV per atom: -3.21
Space-group type: Pnma
V, Å³ per atom: 33.701

Unit cell a=4.6325 b=13.0240 c=13.4055 alpha=90.00 beta=90.00 gamma=90.00
Last column: nearest neighbours and their distance in Å.
Element x y z (fractional)
Ba 0.7500 0.9426 0.8675  1 H 2.66
Ba 0.7500 0.4426 0.6325  1 H 2.66
Ba 0.2500 0.0574 0.1325  1 H 2.66
Ba 0.2500 0.5574 0.3675  1 H 2.66
Ba 0.7500 0.6239 0.9393  1 H 2.60
Ba 0.7500 0.1239 0.5607  1 H 2.60
Ba 0.2500 0.3761 0.0607  1 H 2.60
Ba 0.2500 0.8761 0.4393  1 H 2.60
Ba 0.7500 0.7713 0.2032  2 H 2.63
Ba 0.7500 0.2713 0.2968  2 H 2.63
Ba 0.2500 0.2287 0.7968  2 H 2.63
Ba 0.2500 0.7287 0.7032  2 H 2.63
H 0.7500 0.7538 0.7922  4 Ba 2.60-2.66
H 0.7500 0.2538 0.7078  4 Ba 2.60-2.66
H 0.2500 0.2462 0.2078  4 Ba 2.60-2.66
H 0.2500 0.7462 0.2922  4 Ba 2.60-2.66
Au 0.7500 0.1849 0.9915  7 Ba 3.42-3.57, 2 H 3.80
Au 0.7500 0.6849 0.5085  7 Ba 3.42-3.57, 2 H 3.80
Au 0.2500 0.8151 0.0085  7 Ba 3.42-3.57, 2 H 3.80
Au 0.2500 0.3151 0.4915  7 Ba 3.42-3.57, 2 H 3.80
Au 0.7500 0.0085 0.3156  7 Ba 3.33-3.61
Au 0.7500 0.5085 0.1844  7 Ba 3.33-3.61
Au 0.2500 0.9915 0.6844  7 Ba 3.33-3.61
Au 0.2500 0.4915 0.8156  7 Ba 3.33-3.61

---

[3]
Here is Ba3HAu after structural relaxation from Alexandria via LeMat-Bulk. Energies are from PBE.

Values from the calculation:
Energy, eV per atom: -2.92
Space-group type: Cmcm
V, Å³ per atom: 38.137

Unit cell a=4.5440 b=7.7529 c=11.3209 alpha=90.00 beta=90.00 gamma=107.02
Last column: nearest neighbours and their distance in Å.
Element x y z (fractional)
Ba 0.8556 0.2116 0.0761  1 H 2.64
Ba 0.1444 0.7884 0.9239  1 H 2.64
Ba 0.8556 0.2116 0.4239  1 H 2.64
Ba 0.1444 0.7884 0.5761  1 H 2.64
Ba 0.5699 0.6400 0.2500  2 H 2.67-2.68
Ba 0.4301 0.3600 0.7500  2 H 2.67-2.68
H 0.9748 0.4496 0.2500  4 Ba 2.64-2.68
H 0.0252 0.5504 0.7500  4 Ba 2.64-2.68
Au 0.2455 0.9912 0.2500  6 Ba 3.42-3.46
Au 0.7545 0.0088 0.7500  6 Ba 3.42-3.46

---

[4]
Here is Ba8HAu5 after structural relaxation from Alexandria via LeMat-Bulk. Energies are from PBE.

Values from the calculation:
Energy, eV per atom: -3.05
Space-group type: I-4
V, Å³ per atom: 37.220

Unit cell a=8.7820 b=8.7820 c=8.7820 alpha=110.28 beta=110.28 gamma=107.87
Last column: nearest neighbours and their distance in Å.
Element x y z (fractional)
Ba 0.0079 0.7511 0.1471  1 H 3.10, 2 Au 3.26-3.32
Ba 0.2489 0.3961 0.2568  1 H 3.10, 2 Au 3.26-3.32
Ba 0.6453 0.8850 0.3760  3 Au 3.26-3.28
Ba 0.1150 0.4910 0.7603  3 Au 3.26-3.28
Ba 0.7308 0.3547 0.2397  3 Au 3.26-3.28
Ba 0.1392 0.9921 0.7432  1 H 3.10, 2 Au 3.26-3.32
Ba 0.6039 0.8608 0.8529  1 H 3.10, 2 Au 3.26-3.32
Ba 0.5090 0.2692 0.6240  3 Au 3.26-3.28
H 0.2500 0.7500 0.5000  4 Ba 3.10
Au 0.8657 0.2414 0.8747  4 Ba 3.26-3.32
Au 0.7586 0.6334 0.6243  4 Ba 3.26-3.32
Au 0.3666 0.9910 0.1253  4 Ba 3.26-3.32
Au 0.5000 0.5000 0.0000  4 Ba 3.26
Au 0.0090 0.1343 0.3757  4 Ba 3.26-3.32

---

[5]
Here is Ba6HAu3 after structural relaxation from Alexandria via LeMat-Bulk. Energies are from PBE.

Values from the calculation:
Energy, eV per atom: -2.99
Space-group type: Cmc2_1
V, Å³ per atom: 40.596

Unit cell a=7.8027 b=10.3248 c=10.3248 alpha=102.54 beta=90.00 gamma=90.00
Last column: nearest neighbours and their distance in Å.
Element x y z (fractional)
Ba 0.1907 0.6946 0.6381  4 Au 3.31-3.47
Ba 0.6907 0.6381 0.6946  4 Au 3.31-3.47
Ba 0.1921 0.4307 0.8893  1 H 2.67
Ba 0.6921 0.8893 0.4307  1 H 2.67
Ba 0.1458 0.0454 0.9546  1 H 2.66
Ba 0.6873 0.2224 0.7776  1 H 2.70
Ba 0.1873 0.7776 0.2224  1 H 2.70
Ba 0.6458 0.9546 0.0454  1 H 2.66
Ba 0.1921 0.1107 0.5693  1 H 2.67
Ba 0.6921 0.5693 0.1107  1 H 2.67
Ba 0.1907 0.3619 0.3054  4 Au 3.31-3.47
Ba 0.6907 0.3054 0.3619  4 Au 3.31-3.47
H 0.0312 0.2009 0.7991  4 Ba 2.66-2.70
H 0.5312 0.7991 0.2009  4 Ba 2.66-2.70
Au 0.4756 0.9351 0.7254  7 Ba 3.31-3.53
Au 0.9756 0.7254 0.9351  7 Ba 3.31-3.53
Au 0.4042 0.3945 0.6055  7 Ba 3.32-3.55
Au 0.9042 0.6055 0.3945  7 Ba 3.32-3.55
Au 0.9756 0.0649 0.2746  7 Ba 3.31-3.53
Au 0.4756 0.2746 0.0649  7 Ba 3.31-3.53

---

[6]
Here is BaH2Au2 after structural relaxation from Alexandria via LeMat-Bulk. Energies are from PBE.

Values from the calculation:
Energy, eV per atom: -3.14
Space-group type: I4/mmm
V, Å³ per atom: 17.256

Unit cell a=4.2826 b=4.2826 c=5.5947 alpha=67.50 beta=67.50 gamma=90.00
Last column: nearest neighbours and their distance in Å.
Element x y z (fractional)
H 0.7500 0.2500 0.5000  4 Au 2.32
H 0.2500 0.7500 0.5000  4 Au 2.32
Au 0.3458 0.3458 0.3084  4 H 2.32
Au 0.6542 0.6542 0.6916  4 H 2.32
Ba 0.0000 0.0000 0.0000  8 H 3.18, 10 Au 3.25-3.36

---

[7]
Here is Ba2H2Au after structural relaxation from Alexandria via LeMat-Bulk. Energies are from PBE.

Values from the calculation:
Energy, eV per atom: -3.31
Space-group type: I4/mmm
V, Å³ per atom: 25.438

Unit cell a=4.2163 b=4.2163 c=7.7511 alpha=74.22 beta=74.22 gamma=90.00
Last column: nearest neighbours and their distance in Å.
Element x y z (fractional)
H 0.7500 0.2500 0.5000  4 Ba 2.62
H 0.2500 0.7500 0.5000  4 Ba 2.62
Au 0.0000 0.0000 0.0000  8 Ba 3.61
Ba 0.3582 0.3582 0.2835  4 H 2.62
Ba 0.6418 0.6418 0.7165  4 H 2.62

---

[8]
Here is Ba2H2Au after structural relaxation from Alexandria via LeMat-Bulk. Energies are from PBE.

Values from the calculation:
Energy, eV per atom: -3.01
Space-group type: P4/mbm
V, Å³ per atom: 25.022

Unit cell a=8.3382 b=8.3382 c=3.5990 alpha=90.00 beta=90.00 gamma=90.00
Last column: nearest neighbours and their distance in Å.
Element x y z (fractional)
H 0.1141 0.6141 0.5000  1 H 2.69, 4 Ba 2.93
H 0.6141 0.8859 0.5000  1 H 2.69, 4 Ba 2.93
H 0.8859 0.3859 0.5000  1 H 2.69, 4 Ba 2.93
H 0.3859 0.1141 0.5000  1 H 2.69, 4 Ba 2.93
Au 0.0000 0.0000 0.0000  4 Ba 3.13
Au 0.5000 0.5000 0.0000  4 Ba 3.13
Ba 0.3402 0.8402 0.0000  6 H 2.93-3.22, 2 Au 3.13
Ba 0.8402 0.6598 0.0000  6 H 2.93-3.22, 2 Au 3.13
Ba 0.6598 0.1598 0.0000  6 H 2.93-3.22, 2 Au 3.13
Ba 0.1598 0.3402 0.0000  6 H 2.93-3.22, 2 Au 3.13

---

[9]
Here is Ba6HAu after structural relaxation from Alexandria via LeMat-Bulk. Energies are from PBE.

Values from the calculation:
Energy, eV per atom: -2.50
Space-group type: P-31m
V, Å³ per atom: 50.155

Unit cell a=7.6088 b=7.8036 c=7.8036 alpha=59.99 beta=90.00 gamma=90.00
Last column: nearest neighbours and their distance in Å.
Element x y z (fractional)
Ba 0.7609 0.6979 0.3436  1 H 3.11, 1 Au 3.21
Ba 0.2391 0.3436 0.6979  1 H 3.11, 1 Au 3.21
Ba 0.2395 0.0207 0.3439  1 H 3.11, 1 Au 3.21
Ba 0.2395 0.6976 0.0208  1 H 3.11, 1 Au 3.21
Ba 0.7605 0.0208 0.6976  1 H 3.11, 1 Au 3.21
Ba 0.7605 0.3439 0.0207  1 H 3.11, 1 Au 3.21
H 0.0000 0.0207 0.0207  6 Ba 3.11
Au 0.5000 0.0208 0.0208  6 Ba 3.21

---

[10]
Here is BaH4Au4 after structural relaxation from Alexandria via LeMat-Bulk. Energies are from PBE.

Values from the calculation:
Energy, eV per atom: -3.14
Space-group type: I4/m
V, Å³ per atom: 19.207

Unit cell a=5.8125 b=6.1794 c=6.1794 alpha=77.22 beta=61.95 gamma=61.95
Last column: nearest neighbours and their distance in Å.
Element x y z (fractional)
Ba 0.0000 0.0000 0.0000  4 H 2.74
H 0.9216 0.7314 0.4255  1 Au 1.63
H 0.0784 0.2686 0.5745  1 Au 1.63
H 0.6529 0.4255 0.2686  1 Au 1.63
H 0.3471 0.5745 0.7314  1 Au 1.63
Au 0.3663 0.3451 0.9222  1 H 1.63
Au 0.6337 0.6549 0.0778  1 H 1.63
Au 0.7114 0.9222 0.6549  1 H 1.63
Au 0.2886 0.0778 0.3451  1 H 1.63

---

[11]
Here is Ba3HAu after structural relaxation from Alexandria via LeMat-Bulk. Energies are from PBE.

Values from the calculation:
Energy, eV per atom: -2.71
Space-group type: Pm-3m
V, Å³ per atom: 34.071

Unit cell a=5.5435 b=5.5435 c=5.5435 alpha=90.00 beta=90.00 gamma=90.00
Last column: nearest neighbours and their distance in Å.
Element x y z (fractional)
H 0.0000 0.0000 0.0000  6 Ba 2.77
Au 0.5000 0.5000 0.5000  12 Ba 3.92
Ba 0.0000 0.5000 0.0000  2 H 2.77
Ba 0.0000 0.0000 0.5000  2 H 2.77
Ba 0.5000 0.0000 0.0000  2 H 2.77